Record 1
The following is a DFT calculation (PBE) of a geometry-optimized SmMg6Cd6 structure. Values from VASP.

Values from the calculation:
For the formation energy, the calculation gives -0.15 eV/atom. For the total energy, the calculation gives -1.67 eV per atom. The space group is No. 71.

```
&SYSTEM
  ibrav = 0, nat = 13, ntyp = 3
/
ATOMIC_SPECIES
Sm 150.36 Sm.upf
Mg 24.30 Mg.upf
Cd 112.41 Cd.upf
CELL_PARAMETERS angstrom
-2.955 4.985 5.016
2.955 -4.985 5.016
2.955 4.985 -5.016
ATOMIC_POSITIONS angstrom
Sm 0.000 0.000 0.000
Mg 2.955 0.000 2.095
Mg 0.000 0.000 3.506
Mg 0.000 3.494 0.000
Mg 0.000 6.476 0.000
Mg 0.000 0.000 6.526
Mg 0.000 4.985 2.921
Cd 1.477 2.493 -2.508
Cd 1.477 -2.493 2.508
Cd 2.955 2.128 0.000
Cd -1.477 2.493 2.508
Cd 1.477 2.493 2.508
Cd 0.000 2.857 5.016
```


Record 2
The following is a DFT calculation (PBE) of a geometry-optimized RbNp2CuS4 structure. Values from VASP.

Values from the calculation:
For the total energy, the calculation gives -7.15 eV per atom. The space group is No. 63. For the energy relative to the elements, uncorrected, the calculation gives -1216.3 meV/atom.

```
&SYSTEM
  ibrav = 0, nat = 16, ntyp = 4
/
ATOMIC_SPECIES
Rb 85.47 Rb.upf
Np 237.00 Np.upf
Cu 63.55 Cu.upf
S 32.06 S.upf
CELL_PARAMETERS angstrom
1.999 -6.898 0.000
1.999 6.898 0.000
0.000 0.000 13.726
ATOMIC_POSITIONS angstrom
Rb 1.999 5.439 10.294
Rb 1.999 -5.439 3.431
Np 1.999 1.826 7.667
Np 1.999 1.826 12.922
Np 1.999 -1.826 0.804
Np 1.999 -1.826 6.059
Cu 1.999 4.597 3.431
Cu 1.999 -4.597 10.294
S 0.000 0.000 0.000
S 0.000 0.000 6.863
S 1.999 3.323 1.488
S 1.999 3.323 5.375
S 1.999 1.075 10.294
S 1.999 -1.075 3.431
S 1.999 -3.323 8.351
S 1.999 -3.323 12.238
```


Record 3
The following is a DFT calculation (PBE) of a geometry-optimized Tm2AlRu3 structure. Values from VASP.

Values from the calculation:
For the formation energy, the calculation gives -0.48 eV/atom. For the total energy, the calculation gives -7.24 eV per atom. The space group is No. 194.

```
&SYSTEM
  ibrav = 0, nat = 12, ntyp = 3
/
ATOMIC_SPECIES
Tm 168.93 Tm.upf
Al 26.98 Al.upf
Ru 101.07 Ru.upf
CELL_PARAMETERS angstrom
5.425 0.000 0.000
-2.712 4.698 0.000
0.000 0.000 8.344
ATOMIC_POSITIONS angstrom
Tm 0.000 3.132 0.548
Tm 0.000 3.132 3.624
Tm 2.712 1.566 4.720
Tm 2.712 1.566 7.796
Al 0.000 0.000 0.000
Al 0.000 0.000 4.172
Ru 0.000 1.613 6.258
Ru -1.316 3.892 6.258
Ru 1.397 0.806 2.086
Ru 1.316 3.892 6.258
Ru 4.028 0.806 2.086
Ru 2.712 3.085 2.086
```


Record 4
The following is a DFT calculation (PBE) of a geometry-optimized LaIn2Ir structure. Values from VASP.

Values from the calculation:
For the formation energy, the calculation gives -0.27 eV/atom. For the total energy, the calculation gives -5.09 eV per atom. The space group is No. 225.

```
&SYSTEM
  ibrav = 0, nat = 4, ntyp = 3
/
ATOMIC_SPECIES
La 138.91 La.upf
In 114.82 In.upf
Ir 192.22 Ir.upf
CELL_PARAMETERS angstrom
0.000 3.548 3.548
3.548 0.000 3.548
3.548 3.548 0.000
ATOMIC_POSITIONS angstrom
La 0.000 0.000 0.000
In 1.774 1.774 1.774
In 5.323 5.323 5.323
Ir 3.548 3.548 3.548
```


Record 5
The following is a DFT calculation (PBE) of a geometry-optimized NbTc2As structure. Values from VASP.

Values from the calculation:
For the formation energy, the calculation gives -0.15 eV/atom. For the total energy, the calculation gives -9.02 eV per atom. The space group is No. 123.

```
&SYSTEM
  ibrav = 0, nat = 4, ntyp = 3
/
ATOMIC_SPECIES
Nb 92.91 Nb.upf
Tc 98.00 Tc.upf
As 74.92 As.upf
CELL_PARAMETERS angstrom
4.367 0.000 0.000
0.000 4.367 0.000
0.000 0.000 3.212
ATOMIC_POSITIONS angstrom
Nb 0.000 0.000 0.000
Tc 0.000 2.183 1.606
Tc 2.183 0.000 1.606
As 2.183 2.183 0.000
```


Record 6
The following is a DFT calculation (PBE) of a geometry-optimized AcGa2Hg4 structure. Values from VASP.

Values from the calculation:
For the formation energy, the calculation gives -0.23 eV/atom. For the total energy, the calculation gives -1.86 eV per atom. The space group is No. 65.

```
&SYSTEM
  ibrav = 0, nat = 7, ntyp = 3
/
ATOMIC_SPECIES
Ac 227.00 Ac.upf
Ga 69.72 Ga.upf
Hg 200.59 Hg.upf
CELL_PARAMETERS angstrom
2.433 -7.539 0.000
2.433 7.539 0.000
0.000 0.000 4.691
ATOMIC_POSITIONS angstrom
Ac 0.000 0.000 0.000
Ga 2.433 1.254 2.346
Ga 2.433 -1.254 2.346
Hg 2.433 4.932 2.346
Hg 2.433 2.772 0.000
Hg 2.433 -2.772 0.000
Hg 2.433 -4.932 2.346
```


Record 7
The following is a DFT calculation (PBE) of a geometry-optimized TaTc2P structure. Values from VASP.

Values from the calculation:
For the formation energy, the calculation gives -0.05 eV/atom. For the total energy, the calculation gives -9.55 eV per atom. The space group is No. 47.

```
&SYSTEM
  ibrav = 0, nat = 4, ntyp = 3
/
ATOMIC_SPECIES
Ta 180.95 Ta.upf
Tc 98.00 Tc.upf
P 30.97 P.upf
CELL_PARAMETERS angstrom
3.092 0.000 0.000
0.000 4.206 0.000
0.000 0.000 4.551
ATOMIC_POSITIONS angstrom
Ta 0.000 0.000 0.000
Tc 0.000 2.103 2.275
Tc 1.546 2.103 0.000
P 1.546 0.000 2.275
```


Record 8
The following is a DFT calculation (PBE) of a geometry-optimized La5Re3 structure. Values from VASP.

Values from the calculation:
For the formation energy, the calculation gives 0.53 eV/atom. For the total energy, the calculation gives -7.22 eV per atom. The space group is No. 65.

```
&SYSTEM
  ibrav = 0, nat = 8, ntyp = 2
/
ATOMIC_SPECIES
La 138.91 La.upf
Re 186.21 Re.upf
CELL_PARAMETERS angstrom
3.830 -5.508 0.000
3.830 5.508 0.000
0.000 0.000 4.792
ATOMIC_POSITIONS angstrom
La 0.000 0.000 0.000
La 1.915 2.754 0.000
La 2.185 0.000 2.396
La 1.915 -2.754 0.000
La 5.476 0.000 2.396
Re 3.830 3.099 2.396
Re 3.830 0.000 0.000
Re 3.830 -3.099 2.396
```


Record 9
The following is a DFT calculation (PBE) of a geometry-optimized Ce5Sb4O structure. Values from VASP.

Values from the calculation:
For the total energy, the calculation gives -6.36 eV per atom. The space group is No. 79. For the energy relative to the elements, uncorrected, the calculation gives -1246.5 meV/atom.

```
&SYSTEM
  ibrav = 0, nat = 10, ntyp = 3
/
ATOMIC_SPECIES
Ce 140.12 Ce.upf
Sb 121.76 Sb.upf
O 16.00 O.upf
CELL_PARAMETERS angstrom
-4.842 4.842 3.166
4.842 -4.842 3.166
4.842 4.842 -3.166
ATOMIC_POSITIONS angstrom
Ce 0.000 0.000 0.000
Ce 3.910 2.188 -0.550
Ce 2.654 -0.932 2.616
Ce 2.188 5.774 -0.550
Ce 0.932 2.654 2.616
Sb 6.736 0.851 -0.552
Sb 0.851 2.947 -0.552
Sb 3.990 1.894 2.614
Sb -1.894 3.990 2.614
O 0.000 0.000 2.177
```


Record 10
The following is a DFT calculation (PBE) of a geometry-optimized ZrSc2Al structure. Values from VASP.

Values from the calculation:
For the formation energy, the calculation gives 0.12 eV/atom. For the total energy, the calculation gives -6.12 eV per atom. The space group is No. 36.

```
&SYSTEM
  ibrav = 0, nat = 8, ntyp = 3
/
ATOMIC_SPECIES
Zr 91.22 Zr.upf
Sc 44.96 Sc.upf
Al 26.98 Al.upf
CELL_PARAMETERS angstrom
1.519 -10.214 0.000
1.519 10.214 0.000
0.000 0.000 5.902
ATOMIC_POSITIONS angstrom
Zr 1.519 7.558 2.951
Zr 1.519 -7.558 0.000
Sc 1.519 10.194 1.554
Sc 1.519 4.873 1.564
Sc 1.519 -4.873 4.516
Sc 1.519 -10.194 4.505
Al 1.519 7.617 0.005
Al 1.519 -7.617 2.956
```


Record 11
The following is a DFT calculation (PBE) of a geometry-optimized NdYAlPd structure. Values from VASP.

Values from the calculation:
For the formation energy, the calculation gives -0.52 eV/atom. For the total energy, the calculation gives -5.56 eV per atom. The space group is No. 216.

```
&SYSTEM
  ibrav = 0, nat = 4, ntyp = 4
/
ATOMIC_SPECIES
Nd 144.24 Nd.upf
Y 88.91 Y.upf
Al 26.98 Al.upf
Pd 106.42 Pd.upf
CELL_PARAMETERS angstrom
0.000 3.644 3.644
3.644 0.000 3.644
3.644 3.644 0.000
ATOMIC_POSITIONS angstrom
Nd 0.000 0.000 0.000
Y 3.644 3.644 3.644
Al 5.466 5.466 5.466
Pd 1.822 1.822 1.822
```


Record 12
The following is a DFT calculation (PBE) of a geometry-optimized ThZrPa2 structure. Values from VASP.

Values from the calculation:
For the formation energy, the calculation gives 0.33 eV/atom. For the total energy, the calculation gives -8.41 eV per atom. The space group is No. 225.

```
&SYSTEM
  ibrav = 0, nat = 4, ntyp = 3
/
ATOMIC_SPECIES
Th 232.04 Th.upf
Zr 91.22 Zr.upf
Pa 231.04 Pa.upf
CELL_PARAMETERS angstrom
0.000 3.742 3.742
3.742 0.000 3.742
3.742 3.742 0.000
ATOMIC_POSITIONS angstrom
Th 0.000 0.000 0.000
Zr 3.742 3.742 3.742
Pa 1.871 1.871 1.871
Pa 5.613 5.613 5.613
```